No. 1
The following is a DFT calculation (PBE) of a relaxed structure of Ni8Mo.

Cell lengths 3.5783, 5.6283, 5.6283 Å; angles 95.80, 108.53, 71.47 degrees
Last column: magnetic moment on the atom in μB.
Atoms (fractional coordinates):
Mo 0.0000 0.0000 0.0000  -0.02
Ni 0.0000 0.3340 0.3340  0.08
Ni 0.0000 0.6660 0.6660  0.08
Ni 0.3340 0.6660 0.3340  0.08
Ni 0.3329 0.0000 0.6659  0.04
Ni 0.3329 0.3341 0.0000  0.04
Ni 0.6660 0.3340 0.6660  0.08
Ni 0.6671 0.6659 0.0000  0.04
Ni 0.6671 0.0000 0.3341  0.04

SG	I4/mmm
energy of formation	-41	kJ/mol of formula units


No. 2
The following is a DFT calculation (PBE) of a relaxed structure of BeCr2Os.

Cell lengths 3.9039, 2.5496, 4.8185 Å; angles 79.38, 90.00, 90.00 degrees
Atoms (fractional coordinates):
Cr 0.0000 0.0319 0.9920
Cr 0.5000 0.2189 0.2399
Os 0.0000 0.4882 0.5093
Be 0.5000 0.7610 0.7588

SG	Pm
energy of formation	30	kJ/mol of formula units


No. 3
The following is a DFT calculation (PBE) of a relaxed structure of CdBiTe2.

Cell lengths 10.1677, 10.1677, 10.1677 Å; angles 22.41, 22.41, 22.41 degrees
Atoms (fractional coordinates):
Te 0.8966 0.8966 0.8966
Te 0.1034 0.1034 0.1034
Bi 0.0000 0.0000 0.0000
Cd 0.5000 0.5000 0.5000

SG	R-3m
excess energy over the best structure of this formula in the dataset	238	meV/atom


No. 4
The following is a DFT calculation (PBE) of a relaxed structure of Pr4ZnN.

Cell lengths 6.3378, 7.5019, 8.3956 Å; angles 109.91, 104.58, 106.34 degrees
Atoms (fractional coordinates):
Pr 0.2969 0.9426 0.6006
Pr 0.0198 0.8268 0.0962
Pr 0.1964 0.3420 0.3994
Pr 0.4236 0.7306 0.9038
Pr 0.7031 0.0574 0.3994
Pr 0.8036 0.6580 0.6006
Pr 0.9802 0.1732 0.9038
Pr 0.5764 0.2694 0.0962
Zn 0.3655 0.6155 0.2311
Zn 0.6345 0.3845 0.7689
N 0.8184 0.0684 0.1367
N 0.1816 0.9316 0.8633

SG	C2/c
raw total energy	-62.49	eV per cell


No. 5
The following is a DFT calculation (PBE) of a relaxed structure of La3CdIr8.

Cell lengths 5.4327, 5.4327, 9.4218 Å; angles 73.24, 73.24, 60.00 degrees
Atoms (fractional coordinates):
La 0.3755 0.3755 0.8734
La 0.9968 0.9968 0.0096
La 0.5028 0.5028 0.4916
Cd 0.8736 0.8736 0.3791
Ir 0.9362 0.4367 0.1903
Ir 0.4399 0.9381 0.6839
Ir 0.4367 0.4367 0.1903
Ir 0.9381 0.9381 0.6839
Ir 0.1878 0.1878 0.4367
Ir 0.6877 0.6877 0.9369
Ir 0.4367 0.9362 0.1903
Ir 0.9381 0.4399 0.6839

SG	R3m
energy of formation	-594	kJ/mol of formula units


No. 6
The following is a DFT calculation (PBE) of a relaxed structure of SrCoSi2.

Cell lengths 3.9509, 3.9509, 6.1499 Å; angles 71.24, 71.24, 59.94 degrees
Atoms (fractional coordinates):
Co 0.3254 0.3254 0.0236
Si 0.9680 0.9680 0.0966
Si 0.7012 0.7012 0.8957
Sr 0.5055 0.5055 0.4840

SG	R3m
raw total energy	-21.33	eV per cell


No. 7
The following is a DFT calculation (PBE) of a relaxed structure of AcSm6Dy12.

Cell lengths 8.7743, 8.7743, 8.7743 Å; angles 98.98, 98.98, 98.98 degrees
Atoms (fractional coordinates):
Ac 0.0000 0.0000 0.0000
Sm 0.8973 0.3480 0.8973
Sm 0.8973 0.8973 0.3480
Sm 0.3480 0.8973 0.8973
Sm 0.1027 0.1027 0.6520
Sm 0.1027 0.6520 0.1027
Sm 0.6520 0.1027 0.1027
Dy 0.7587 0.2413 0.5000
Dy 0.3564 0.0809 0.3564
Dy 0.3564 0.3564 0.0809
Dy 0.9191 0.6436 0.6436
Dy 0.6436 0.6436 0.9191
Dy 0.6436 0.9191 0.6436
Dy 0.5000 0.7587 0.2413
Dy 0.2413 0.5000 0.7587
Dy 0.2413 0.7587 0.5000
Dy 0.5000 0.2413 0.7587
Dy 0.7587 0.5000 0.2413
Dy 0.0809 0.3564 0.3564

SG	R-3m
energy of formation	377	kJ/mol of formula units


No. 8
The following is a DFT calculation (PBE) of a relaxed structure of Ti2TcSb.

Cell lengths 7.3715, 7.3715, 5.8942 Å; angles 51.29, 51.29, 90.00 degrees
Atoms (fractional coordinates):
Sb 0.0000 0.0000 0.0000
Sb 0.7500 0.2500 0.5000
Tc 0.5000 0.5000 0.0000
Tc 0.2500 0.7500 0.5000
Ti 0.5762 0.1250 0.2500
Ti 0.1738 0.6250 0.2500
Ti 0.3750 0.4238 0.7500
Ti 0.8750 0.8262 0.7500

SG	I-42d
raw total energy	-59.92	eV per cell